The following is a PBE calculation of ZnCo2Ge2 after structural relaxation, from the Alexandria database.

Structure (extended XYZ):
```
10
Lattice="3.863 0.000 0.000 0.000 4.059 0.000 0.000 0.000 8.764" Properties=species:S:1:pos:R:3 pbc="T T T"
Zn 0.966 1.015 1.582
Zn 2.898 3.045 7.182
Co 0.966 3.045 0.132
Co 0.966 3.045 2.984
Co 2.898 1.015 5.780
Co 2.898 1.015 8.632
Ge 0.966 1.015 4.292
Ge 0.966 1.015 7.291
Ge 2.898 3.045 1.473
Ge 2.898 3.045 4.473
```

Calculated values
The value obtained for the formation energy is -0.142 eV per atom.